Zr5Au3 | PBE | relaxed

Cell and atoms, written as extended XYZ:
```
16
Lattice="8.5396 0.0000 0.0000 4.2699 7.3955 0.0000 0.0000 0.0000 5.3481" Properties=species:S:1:pos:R:3 pbc="T T T"
Au 1.6863 2.9205 1.3370
Au 3.3724 0.0000 4.0111
Au 11.1234 4.4751 4.0111
Au 6.8536 2.9204 4.0111
Au 5.9560 4.4751 1.3370
Au 9.4372 7.3955 1.3370
Zr 8.5397 4.9303 2.6740
Zr 4.2700 2.4651 2.6740
Zr 2.0761 0.0001 1.3370
Zr 11.7714 5.5977 1.3370
Zr 1.0381 1.7979 4.0111
Zr 4.2700 2.4651 0.0000
Zr 5.3079 5.5977 4.0111
Zr 6.4636 0.0000 4.0111
Zr 8.5397 4.9303 0.0000
Zr 7.5017 1.7978 1.3370
```

Values from the calculation:
- ΔE to the lowest computed polymorph: 20 meV/atom
- ΔE_f: -3.24 eV/f.u.
- Magnetization: 0.0 μB per cell
- Mass density: 10.30 g/cm³
- Volume: 337.8 Å³/cell